# 1
6
Lattice="1.6050 4.6094 0.0148 -1.6050 4.6094 0.0148 0.0000 1.9421 7.2384" Properties=species:S:1:pos:R:3 comment="TaSe PBE-GGA optimized geometry" total_energy_ry_per_atom=-0.5801 formation_energy_uncorrected_ev_per_fu=-0.45 sg="Cm, No. 8" dos_ef_per_ev_cell=4.1 pbc="T T T"
Se 0.0000 8.8179 0.2535
Se 0.0000 7.6729 4.9104
Se 0.0000 6.2506 2.0606
Ta 0.0000 4.2161 6.7001
Ta 0.0000 10.1986 4.2710
Ta 0.0000 3.6856 2.4269



# 2
4
Lattice="-2.3121 -1.6974 -2.2640 3.8256 -5.4243 0.1599 -3.0480 -2.0134 4.6224" Properties=species:S:1:pos:R:3 comment="KLi2La PBE-GGA optimized geometry" total_energy_ry_per_atom=-0.1502 sg="Pmmm, No. 47" dos_ef_per_ev_cell=3.8 delta_e_f_ev_per_atom=0.42 pbc="T T T"
La 0.3888 -3.7188 2.3911
Li 0.0000 0.0000 0.0000
Li 0.7567 -3.5608 -1.0521
K -2.6801 -1.8554 1.1792



# 3
5
Lattice="-0.9752 -4.2299 1.8165 -0.8009 -1.6726 -4.3248 3.4667 -0.9218 -0.2855" Properties=species:S:1:pos:R:3 comment="AlBS2N PBE-GGA optimized geometry" polymorph_energy_ev_per_atom=0.9225 total_energy_ry_per_atom=-0.3096 formation_energy_uncorrected_ev_per_fu=5.94 sg="P4/mmm, No. 123" dos_ef_per_ev_cell=3.4 pbc="T T T"
S -0.4005 -0.8363 -2.1624
S -0.4876 -2.1149 0.9082
N 1.7333 -0.4609 -0.1428
B 0.8453 -3.4121 -1.3969
Al 0.0000 0.0000 0.0000



# 4
16
Lattice="4.6472 0.0000 0.0000 0.0000 8.6223 0.0000 0.0000 0.0000 5.3111" Properties=species:S:1:pos:R:3 comment="NiRu3 PBE-GGA optimized geometry" total_energy_ry_per_atom=-0.6091 sg="Pnma, No. 62" dos_ef_per_ev_cell=19.3 delta_e_f_ev_per_atom=0.12 pbc="T T T"
Ru 1.1584 8.6190 2.0109
Ru 3.4888 0.0034 3.3002
Ru 1.1584 4.3145 2.0109
Ru 3.4820 4.3145 0.6446
Ru 3.4820 8.6190 0.6446
Ru 1.9702 2.1556 3.3354
Ru 2.6770 6.4667 1.9757
Ru 4.2938 2.1556 4.6313
Ru 1.1652 4.3078 4.6665
Ru 1.1652 0.0034 4.6665
Ru 3.4888 4.3078 3.3002
Ru 0.3534 6.4667 0.6798
Ni 0.4208 6.4667 3.3387
Ni 1.9028 2.1556 0.6832
Ni 4.2264 2.1556 1.9724
Ni 2.7444 6.4667 4.6279



Please write out number 1 again, unchanged.
6
Lattice="1.6050 4.6094 0.0148 -1.6050 4.6094 0.0148 0.0000 1.9421 7.2384" Properties=species:S:1:pos:R:3 comment="TaSe PBE-GGA optimized geometry" total_energy_ry_per_atom=-0.5801 formation_energy_uncorrected_ev_per_fu=-0.45 sg="Cm, No. 8" dos_ef_per_ev_cell=4.1 pbc="T T T"
Se 0.0000 8.8179 0.2535
Se 0.0000 7.6729 4.9104
Se 0.0000 6.2506 2.0606
Ta 0.0000 4.2161 6.7001
Ta 0.0000 10.1986 4.2710
Ta 0.0000 3.6856 2.4269